First-principles (PBE+U) data for RbCrMoF6 after structural relaxation, as listed in the Alexandria database.

a = 5.7381 Å, b = 5.7381 Å, c = 12.0006 Å
α = 90.00°, β = 90.00°, γ = 120.00°
Space group P-31c (No. 163)
Asymmetric unit:
Rb  0.0000  0.0000  0.0000
Cr  0.3333  0.6667  0.2500
Mo  0.3333  0.6667  0.7500
F  0.0047  0.3724  0.6572

Calculated density: 3372 kg/m3
VASP energy: -5.548 eV per atom
V: 171.1 Å³/f.u.
DOS(E_F): 13.6 states/eV/cell
M_tot: 14.0 μB per cell